Material: AlCoC2
Method: DFT, GGA-PBE
State: relaxed

Cell lengths 4.421, 4.421, 9.027 Å; angles 90.00, 90.00, 90.00 degrees
Space group I-42d (No. 122)
One atom of each set of equivalent atoms:
Al 0.000 0.000 0.000 (multiplicity 4)
Co 0.000 0.000 0.500 (multiplicity 4)
C 0.213 0.250 0.625 (multiplicity 8)

Computed properties:
The total magnetic moment is 0.00 μB per formula unit. For the energy of formation from the pure elements, the calculation gives 0.615 eV per atom. The crystal system is tetragonal. The calculation puts the electronic total energy at -6.709 eV/atom.

Material: Al2CoC2
Method: DFT, GGA-PBE
State: relaxed

Cell lengths 5.345, 5.345, 3.161 Å; angles 90.00, 90.00, 90.00 degrees
Space group P4/mbm (No. 127)
One atom of each set of equivalent atoms:
Al 0.201 0.299 0.000 (multiplicity 4)
Co 0.000 0.000 0.500 (multiplicity 2)
C 0.105 0.605 0.500 (multiplicity 4)

Computed properties:
The total magnetic moment is 0.68 μB per formula unit. For the energy of formation from the pure elements, the calculation gives 0.362 eV per atom. The crystal system is tetragonal. The calculation puts the electronic total energy at -6.246 eV/atom.

Material: Al2CoC
Method: DFT, GGA-PBE
State: relaxed

Cell lengths 7.488, 7.488, 3.705 Å; angles 90.00, 90.00, 90.00 degrees
Space group I-42d (No. 122)
One atom of each set of equivalent atoms:
Al 0.113 0.250 0.125 (multiplicity 8)
Co 0.000 0.000 0.500 (multiplicity 4)
C 0.000 0.000 0.000 (multiplicity 4)

Computed properties:
The total magnetic moment is 0.86 μB per formula unit. For the energy of formation from the pure elements, the calculation gives 0.241 eV per atom. The crystal system is tetragonal. The calculation puts the electronic total energy at -5.712 eV/atom.

Material: AlCo3C
Method: DFT, GGA-PBE
State: relaxed

Cell lengths 3.723, 3.723, 3.723 Å; angles 90.00, 90.00, 90.00 degrees
Space group Pm-3m (No. 221)
One atom of each set of equivalent atoms:
Al 0.000 0.000 0.000 (multiplicity 1)
Co 0.000 0.500 0.500 (multiplicity 3)
C 0.500 0.500 0.500 (multiplicity 1)

Computed properties:
The total magnetic moment is 0.00 μB per formula unit. For the energy of formation from the pure elements, the calculation gives -0.225 eV per atom. The crystal system is cubic. The calculation puts the electronic total energy at -7.082 eV/atom.

Material: AlCo3C
Method: DFT, GGA-PBE
State: relaxed

Cell lengths 4.247, 4.247, 4.247 Å; angles 90.00, 90.00, 90.00 degrees
Space group Pm-3m (No. 221)
One atom of each set of equivalent atoms:
Al 0.000 0.000 0.000 (multiplicity 1)
Co 0.000 0.000 0.500 (multiplicity 3)
C 0.500 0.500 0.500 (multiplicity 1)

Computed properties:
The total magnetic moment is 4.08 μB per formula unit. For the energy of formation from the pure elements, the calculation gives 2.251 eV per atom. The crystal system is cubic. The calculation puts the electronic total energy at -4.605 eV/atom.

Material: Al3CoC
Method: DFT, GGA-PBE
State: relaxed

Cell lengths 3.962, 3.962, 3.962 Å; angles 90.00, 90.00, 90.00 degrees
Space group Pm-3m (No. 221)
One atom of each set of equivalent atoms:
Al 0.000 0.000 0.500 (multiplicity 3)
Co 0.500 0.500 0.500 (multiplicity 1)
C 0.000 0.000 0.000 (multiplicity 1)

Computed properties:
The total magnetic moment is 0.00 μB per formula unit. For the energy of formation from the pure elements, the calculation gives 0.270 eV per atom. The crystal system is cubic. The calculation puts the electronic total energy at -5.242 eV/atom.

Material: Al3CoC
Method: DFT, GGA-PBE
State: relaxed

Cell lengths 4.411, 4.411, 4.411 Å; angles 90.00, 90.00, 90.00 degrees
Space group Pm-3m (No. 221)
One atom of each set of equivalent atoms:
Al 0.000 0.000 0.500 (multiplicity 3)
Co 0.000 0.000 0.000 (multiplicity 1)
C 0.500 0.500 0.500 (multiplicity 1)

Computed properties:
The total magnetic moment is 1.71 μB per formula unit. For the energy of formation from the pure elements, the calculation gives 1.078 eV per atom. The crystal system is cubic. The calculation puts the electronic total energy at -4.434 eV/atom.

Material: AlCr2CoC
Method: DFT, GGA-PBE
State: relaxed

Cell lengths 3.862, 3.862, 3.778 Å; angles 90.00, 90.00, 90.00 degrees
Space group P4/mmm (No. 123)
One atom of each set of equivalent atoms:
Al 0.000 0.000 0.000 (multiplicity 1)
Cr 0.000 0.500 0.500 (multiplicity 2)
Co 0.500 0.500 0.000 (multiplicity 1)
C 0.500 0.500 0.500 (multiplicity 1)

Computed properties:
The total magnetic moment is 2.71 μB per formula unit. For the energy of formation from the pure elements, the calculation gives -0.079 eV per atom. The crystal system is tetragonal. The calculation puts the electronic total energy at -7.943 eV/atom.